A plane-wave DFT calculation with PBE was carried out for an optimized crystal structure of BaIn2PO.

Summary:
Space group   P4/mmm (123)
ΔE_f (raw)   0.438 eV/atom
M_tot   0.91 μB per formula unit

Cell and atoms, written as POSCAR:
```
BaIn2PO
1.0
-4.277 -4.978 0.563
3.136 -2.864 -1.498
2.014 -1.031 6.187
Ba P O In
1 1 1 2
direct
0.000 0.000 0.000
0.500 0.500 0.500
0.000 0.500 0.000
0.000 0.000 0.500
0.500 0.000 0.000
```